# 1
A relaxed structure of Rb4Th3Te8, computed with PBE-GGA.

Structure (extended XYZ):
```
15
Lattice="-8.6286 3.6222 -1.4653 -7.6971 -5.1895 1.8825 -5.5345 2.7219 8.7043" Properties=species:S:1:pos:R:3 pbc="T T T"
Rb 0.0000 0.0000 0.0000
Rb -10.9696 1.9599 8.2111
Rb -10.9302 0.5773 4.5608
Rb -10.8907 -0.8054 0.9104
Th -7.0816 3.1720 3.6195
Th -2.7673 1.3609 4.3522
Th -6.6158 -1.2338 5.2934
Te -5.4712 0.5032 2.8468
Te -9.1510 -2.3399 3.7938
Te -13.9201 -0.3379 2.9839
Te -9.6658 2.5304 1.9435
Te -16.3891 0.6514 6.2747
Te -12.7094 3.4944 5.3277
Te -7.9403 1.4924 6.1376
Te -12.1945 -1.3759 7.1780
```

Results
space group	R-3m (166)
raw total energy	-4.590	eV per atom

=====

# 2
A relaxed structure of Rb4ThTe4, computed with PBE-GGA.

Structure (extended XYZ):
```
9
Lattice="4.7685 0.0000 1.1271 1.9976 8.5215 2.1994 -0.0934 0.0947 11.0464" Properties=species:S:1:pos:R:3 pbc="T T T"
Rb 4.1857 3.6522 3.5927
Rb 5.8193 7.3289 7.3326
Rb 2.4869 4.9640 10.7802
Rb 0.8534 1.2872 7.0403
Th 2.3843 0.0000 0.5635
Te 1.7041 1.0631 3.4412
Te 4.9686 7.5531 10.9317
Te 4.8318 2.0907 11.5106
Te 1.8409 6.5254 2.8623
```

Results
excess energy over the best structure of this formula in the dataset	0.0	meV per atom
space group	C2/m (12)

=====

# 3
A relaxed structure of Rb4ThTe4, computed with PBE-GGA.

Structure (extended XYZ):
```
9
Lattice="8.7721 0.0000 0.0000 0.0000 8.7721 0.0000 -4.3861 -4.3861 7.5069" Properties=species:S:1:pos:R:3 pbc="T T T"
Rb 4.3861 0.0000 0.0000
Rb 0.0000 4.3861 0.0000
Rb 0.0000 0.0000 4.4998
Rb 4.3861 4.3861 3.0071
Th 0.0000 0.0000 0.0000
Te 2.6464 2.6464 5.7699
Te 1.7396 7.0325 1.7370
Te -2.6464 -2.6464 5.7699
Te 7.0325 1.7396 1.7370
```

Results
excess energy over the best structure of this formula in the dataset	73.3	meV per atom
space group	I-42m (121)

=====

# 4
A relaxed structure of Rb5ThTe5, computed with PBE-GGA.

Structure (extended XYZ):
```
11
Lattice="-0.1654 4.8547 -4.8494 -8.4077 -2.1854 2.9564 3.8528 6.6275 6.5032" Properties=species:S:1:pos:R:3 pbc="T T T"
Rb -2.2556 4.6249 -0.1507
Rb 0.1662 8.1752 3.3209
Rb 1.9264 3.3137 3.2516
Rb -4.8865 1.1215 1.2894
Rb -2.4647 4.6718 4.7609
Th 0.0000 0.0000 0.0000
Te -5.7479 3.6100 -1.0476
Te -3.4684 7.2877 2.5563
Te -0.0827 2.4273 -2.4247
Te -1.2519 2.0091 2.0539
Te 1.0276 5.6868 5.6579
```

Results
space group	C2/m (12)
raw total energy	-3.535	eV per atom

=====

# 5
A relaxed structure of RbThTe4, computed with PBE-GGA.

Structure (extended XYZ):
```
12
Lattice="7.0072 0.0000 0.0000 0.0000 7.0072 0.0000 0.0000 0.0000 9.2666" Properties=species:S:1:pos:R:3 pbc="T T T"
Rb 3.5036 3.5036 4.6333
Rb 0.0000 0.0000 4.6333
Th 3.5036 3.5036 0.0000
Th 0.0000 0.0000 0.0000
Te 4.5594 5.9514 1.8651
Te 1.0558 4.5594 1.8651
Te 5.9514 2.4478 1.8651
Te 4.5594 1.0558 7.4016
Te 2.4478 5.9514 7.4016
Te 2.4478 1.0558 1.8651
Te 5.9514 4.5594 7.4016
Te 1.0558 2.4478 7.4016
```

Results
excess energy over the best structure of this formula in the dataset	0.0	meV per atom
space group	P4/nbm (125)

=====

# 6
A relaxed structure of RbThTe3, computed with PBE-GGA.

Structure (extended XYZ):
```
10
Lattice="6.3343 -0.0001 0.0003 -3.1669 8.4781 0.6567 -0.0005 -2.6396 8.2755" Properties=species:S:1:pos:R:3 pbc="T T T"
Rb 0.0001 4.5649 5.7085
Rb 3.1669 1.2735 3.2240
Th -0.0002 0.1336 7.6398
Th 3.1672 5.7049 1.2927
Te -0.0005 0.9288 4.8308
Te 3.1669 0.3508 7.9714
Te 0.0000 0.2749 1.4652
Te 3.1674 4.9097 4.1017
Te 3.1670 5.5635 7.4672
Te 0.0001 5.4876 0.9611
```

Results
excess energy over the best structure of this formula in the dataset	38.3	meV per atom
space group	C2/m (12)

=====

# 7
A relaxed structure of RbTh3Te6, computed with PBE-GGA.

Structure (extended XYZ):
```
20
Lattice="4.5192 0.0000 0.0000 0.0000 13.1801 -4.4456 0.0000 0.1221 13.6961" Properties=species:S:1:pos:R:3 pbc="T T T"
Rb 3.3894 8.3194 9.4345
Rb 1.1298 4.9828 -0.1839
Th 3.3894 4.9495 4.8690
Th 1.1298 8.3527 4.3816
Th 3.3894 9.6414 0.6138
Th 1.1298 3.6608 8.6368
Th 3.3894 12.7142 7.2775
Th 1.1298 0.5880 1.9730
Te 3.3894 2.4849 6.8111
Te 1.1298 10.8173 2.4395
Te 3.3894 1.7918 0.1095
Te 1.1298 11.5104 9.1410
Te 3.3894 9.8838 5.9705
Te 1.1298 3.4184 3.2801
Te 3.3894 7.0541 2.4562
Te 1.1298 6.2481 6.7943
Te 3.3894 4.7490 10.4773
Te 1.1298 8.5532 -1.2268
Te 3.3894 12.5538 -0.7247
Te 1.1298 0.7484 9.9753
```

Results
space group	P2_1/m (11)
raw total energy	-5.361	eV per atom

=====

# 8
A relaxed structure of RbTh2Te4, computed with PBE-GGA.

Structure (extended XYZ):
```
14
Lattice="7.9795 1.3808 -3.0501 -3.3780 7.3578 -3.0493 -0.3851 -0.7297 9.7121" Properties=species:S:1:pos:R:3 pbc="T T T"
Rb -0.7342 5.4974 1.8081
Rb 7.5885 0.6510 6.6637
Th 1.9380 7.1202 -2.1492
Th 3.4283 3.0711 4.2320
Th -0.5598 2.3858 5.7650
Th 3.6287 3.4414 -0.6234
Te 4.5521 5.0047 1.9954
Te 2.3078 1.1435 6.4760
Te 6.6331 2.4640 -0.0855
Te 2.6684 1.4216 1.6127
Te 5.9382 1.1513 3.7003
Te 0.6240 4.4211 -1.1525
Te 4.5824 5.4568 -2.8669
Te 0.9233 4.9967 4.7682
```

Results
excess energy over the best structure of this formula in the dataset	82.4	meV per atom
space group	Cc (9)

=====

# 9
A relaxed structure of RbTh2Te5, computed with PBE-GGA.

Structure (extended XYZ):
```
8
Lattice="4.7260 0.0000 0.0000 2.3630 8.7919 2.1166 2.3630 3.6958 8.2534" Properties=species:S:1:pos:R:3 pbc="T T T"
Rb 0.0000 0.0000 0.0000
Th 7.0890 8.6490 7.1822
Th 2.3630 3.8387 3.1877
Te 2.3630 6.2439 5.1850
Te 4.7260 5.6579 2.0608
Te 4.7260 6.8298 8.3092
Te 4.7260 9.4225 5.1869
Te 4.7260 3.0652 5.1830
```

Results
space group	Immm (71)
raw total energy	-5.032	eV per atom

=====

# 10
A relaxed structure of Rb5Th3Te8, computed with PBE-GGA.

Structure (extended XYZ):
```
16
Lattice="2.9645 8.9737 1.1026 -3.0085 5.1251 7.4305 6.6121 1.9475 7.4256" Properties=species:S:1:pos:R:3 pbc="T T T"
Rb 1.4822 4.4868 0.5513
Rb -0.0220 7.0494 4.2666
Rb 0.0000 0.0000 0.0000
Rb -1.5042 2.5625 3.7153
Rb 3.2840 8.0231 7.9794
Th 4.7883 5.4606 4.2641
Th 3.3060 0.9737 3.7128
Th 1.8018 3.5363 7.4281
Te 4.6581 4.8971 7.3752
Te 3.0201 7.6875 11.4207
Te 6.2721 9.7828 7.9755
Te 4.6124 12.1649 11.7523
Te 1.9100 11.1491 8.5836
Te 3.5479 8.3588 4.5381
Te 0.2960 6.2634 7.9833
Te 1.9556 3.8813 4.2065
```

Results
space group	R-3m (166)
raw total energy	-4.443	eV per atom

=====

# 11
A relaxed structure of RbThTe2, computed with PBE-GGA.

Structure (extended XYZ):
```
4
Lattice="3.9364 0.0000 0.0000 0.0000 3.9364 0.0000 0.0000 0.0000 8.8336" Properties=species:S:1:pos:R:3 pbc="T T T"
Te 0.0000 0.0000 7.0169
Te 0.0000 0.0000 1.8167
Rb 1.9682 1.9682 4.4168
Th 1.9682 1.9682 0.0000
```

Results
space group	P4/mmm (123)
raw total energy	-4.839	eV per atom

=====

# 12
A relaxed structure of RbThTe2, computed with PBE-GGA.

Structure (extended XYZ):
```
4
Lattice="4.4661 0.0000 0.0000 2.2330 3.8677 0.0000 2.2330 1.2892 8.9924" Properties=species:S:1:pos:R:3 pbc="T T T"
Rb 4.4661 2.5785 4.5550
Th 6.6991 3.8677 8.9680
Te 2.2330 1.2892 7.0845
Te 2.2330 1.2892 1.8736
```

Results
space group	R3m (160)
raw total energy	-4.816	eV per atom

=====

# 13
A relaxed structure of Rb2Th3Te6, computed with PBE-GGA.

Structure (extended XYZ):
```
11
Lattice="7.3920 0.0000 2.2036 3.6960 6.6806 1.1018 -0.1008 0.0000 9.3503" Properties=species:S:1:pos:R:3 pbc="T T T"
Rb 3.6456 4.4552 5.7769
Rb 7.3416 2.2254 6.8788
Th 0.0000 0.0000 0.0000
Th 3.6960 2.2381 1.1018
Th 7.3920 4.4425 2.2036
Te 5.3734 4.4747 9.0279
Te 5.3363 0.0000 9.0274
Te 1.6774 2.2059 7.9261
Te 1.9549 0.0000 2.5265
Te 5.6137 2.2059 3.6278
Te 9.3097 4.4747 4.7296
```

Results
space group	C2/m (12)
raw total energy	-5.101	eV per atom

=====

# 14
A relaxed structure of RbThTe, computed with PBE-GGA.

Structure (extended XYZ):
```
6
Lattice="-4.3288 -2.2068 -0.1431 0.9714 -1.6149 -4.4808 4.0835 -8.2604 3.8623" Properties=species:S:1:pos:R:3 pbc="T T T"
Rb 4.0107 -7.9381 1.0936
Rb -1.6059 -2.2332 0.4567
Te 1.5801 -3.0214 -1.2052
Te 0.8246 -7.1499 2.7556
Th 0.3630 -6.0411 -0.3808
Th 2.0417 -4.1302 1.9311
```

Results
space group	P4/nmm (129)
raw total energy	-4.471	eV per atom

=====

# 15
A relaxed structure of RbThTe4, computed with PBE-GGA.

Structure (extended XYZ):
```
6
Lattice="5.4098 0.3645 -0.3221 1.7053 5.1468 -0.3221 0.5115 0.3961 8.7369" Properties=species:S:1:pos:R:3 pbc="T T T"
Rb 3.8133 2.9537 4.0464
Th 0.0000 0.0000 0.0000
Te 4.6258 3.5832 0.4311
Te 3.0008 2.3243 7.6616
Te 1.1360 0.8797 5.7219
Te 6.4906 5.0277 2.3708
```

Results
excess energy over the best structure of this formula in the dataset	98.6	meV per atom
space group	C2/m (12)

=====

# 16
A relaxed structure of Rb2ThTe6, computed with PBE-GGA.

Structure (extended XYZ):
```
9
Lattice="4.9465 -0.2043 0.3365 0.0346 8.5352 4.0284 -0.6857 -0.0341 9.4131" Properties=species:S:1:pos:R:3 pbc="T T T"
Rb 1.6110 5.4880 8.9490
Rb 2.6843 2.8088 4.8290
Th 0.0000 0.0000 0.0000
Te 0.5833 2.7009 1.7783
Te 3.9078 7.9248 10.5363
Te 3.7120 5.5959 11.9997
Te 1.9315 1.5762 8.5053
Te 0.3876 0.3720 3.2417
Te 2.3639 6.7206 5.2727
```

Results
space group	C2/m (12)
raw total energy	-3.832	eV per atom

=====

# 17
A relaxed structure of RbTh4Te8, computed with PBE-GGA.

Structure (extended XYZ):
```
26
Lattice="8.6431 0.0000 0.0000 -4.3216 7.4852 0.0000 0.0000 0.0000 19.3406" Properties=species:S:1:pos:R:3 pbc="T T T"
Rb 0.0000 0.0000 0.0000
Rb 0.0000 0.0000 9.6703
Th 0.0000 7.4403 4.8352
Th 2.1996 3.7201 14.5055
Th 6.4435 3.7201 14.5055
Th -2.1219 3.7650 4.8352
Th 2.1219 3.7650 4.8352
Th 4.3216 0.0449 14.5055
Th 0.0000 0.0000 4.8352
Th 0.0000 0.0000 14.5055
Te 0.0000 2.5086 16.4607
Te 2.1491 6.2309 16.4607
Te -2.1491 6.2309 16.4607
Te 6.4706 1.2543 6.7904
Te 2.1725 1.2543 2.8799
Te 4.3216 4.9766 6.7904
Te 2.1725 1.2543 6.7904
Te 0.0000 2.5086 12.5503
Te -2.1491 6.2309 12.5503
Te 6.4706 1.2543 2.8799
Te 4.3216 2.4951 12.5132
Te 0.0000 4.9901 2.8429
Te 0.0000 4.9901 6.8274
Te 4.3216 2.4951 16.4977
Te 2.1491 6.2309 12.5503
Te 4.3216 4.9766 2.8799
```

Results
space group	P6_3/mmc (194)
raw total energy	-5.382	eV per atom

=====

# 18
A relaxed structure of RbThTe3, computed with PBE-GGA.

Structure (extended XYZ):
```
5
Lattice="-5.5205 -2.6493 -0.3762 0.5215 -0.2191 -6.1087 2.6246 -5.5289 0.4223" Properties=species:S:1:pos:R:3 pbc="T T T"
Te 0.2607 -0.1095 -3.0544
Te 1.3123 -2.7645 0.2112
Te -2.7602 -1.3247 -0.1881
Rb -1.1872 -4.1987 -3.0313
Th 0.0000 0.0000 0.0000
```

Results
excess energy over the best structure of this formula in the dataset	70.7	meV per atom
space group	Pm-3m (221)

=====

# 19
A relaxed structure of Rb4Th3TiTe8, computed with PBE-GGA.

Structure (extended XYZ):
```
16
Lattice="-6.9767 5.0368 -2.3976 -5.9449 -5.2136 6.3465 7.2254 3.8068 3.6121" Properties=species:S:1:pos:R:3 pbc="T T T"
Rb -3.4884 2.5184 -1.1988
Rb 0.1244 4.4218 0.6073
Rb 0.0000 0.0000 0.0000
Rb 3.6127 1.9034 1.8060
Th -6.4608 -0.0884 1.9745
Th -2.8481 1.8150 3.7805
Th 0.6403 -0.7034 4.9793
Ti -2.9724 -2.6068 3.1732
Te 1.3050 1.1956 7.4249
Te -2.4771 -0.7968 5.5341
Te 0.2572 1.8229 3.0810
Te -2.3471 3.8322 6.1698
Te -3.3490 -0.2022 1.3912
Te -5.9534 1.8071 4.4800
Te -3.2191 4.4268 2.0269
Te -7.0012 2.4344 0.1361
```

Results
space group	R-3m (166)
raw total energy	-4.775	eV per atom

=====

# 20
A relaxed structure of RbTh2Tl3Te6, computed with PBE-GGA.

Structure (extended XYZ):
```
12
Lattice="-2.2431 -0.0300 4.0871 -1.9041 -9.6975 -1.1161 10.4045 0.1988 3.0525" Properties=species:S:1:pos:R:3 pbc="T T T"
Rb -1.1215 -0.0150 2.0435
Th 3.7687 -6.3653 4.6808
Th 2.4887 -3.1633 1.3426
Tl -2.0736 -4.8637 1.4855
Tl 4.9317 -1.5532 5.3544
Tl 1.3257 -7.9754 0.6691
Te 4.2673 -8.3699 2.2806
Te 1.0427 -5.3874 3.1919
Te 1.9901 -1.1587 3.7429
Te -0.0777 -2.6552 -0.0621
Te 6.3351 -6.8734 6.0856
Te 5.2147 -4.1413 2.8316
```

Results
space group	C2/m (12)
raw total energy	-4.347	eV per atom

=====

# 21
A relaxed structure of Rb2ThTlTe4, computed with PBE-GGA.

Structure (extended XYZ):
```
8
Lattice="4.6251 0.0000 0.0000 0.0000 8.3329 0.1805 0.0000 -2.8873 8.4638" Properties=species:S:1:pos:R:3 pbc="T T T"
Rb 2.3125 -1.4437 4.2319
Rb 0.0000 2.7228 4.3221
Th 2.3125 4.1665 0.0902
Tl 0.0000 0.0000 0.0000
Te 2.3125 1.4954 1.7495
Te 2.3125 3.9502 6.8948
Te 0.0000 0.0505 6.7687
Te 0.0000 5.3951 1.8756
```

Results
space group	P2/m (10)
raw total energy	-3.966	eV per atom